# Ca2YZr (PBE, optimized geometry)
# ΔE to the lowest computed polymorph	0.169	eV per atom
# formation enthalpy at 0 K	317	meV per atom
# total DFT energy (no corrections)	-35.50	eV for the cell shown
data_Ca2YZr
_cell_length_a 3.6704
_cell_length_b 5.7634
_cell_length_c 12.2141
_cell_angle_alpha 90.00
_cell_angle_beta 90.00
_cell_angle_gamma 90.00
_space_group_name_H-M_alt 'I m m m'
_space_group_IT_number 71
_space_group_name_Hall '-I 2 2'
loop_
_atom_site_label
_atom_site_type_symbol
_atom_site_fract_x
_atom_site_fract_y
_atom_site_fract_z
Ca1 Ca 0.0000 0.0000 0.2344
Y1 Y 0.0000 0.5000 0.0000
Zr1 Zr 0.0000 0.5000 0.5000

***

# CaY2Zr (PBE, optimized geometry)
# ΔE to the lowest computed polymorph	0.174	eV per atom
# formation enthalpy at 0 K	277	meV per atom
# total DFT energy (no corrections)	-44.74	eV for the cell shown
data_CaY2Zr
_cell_length_a 3.5838
_cell_length_b 5.8646
_cell_length_c 11.8310
_cell_angle_alpha 90.00
_cell_angle_beta 90.00
_cell_angle_gamma 90.00
_space_group_name_H-M_alt 'I m m 2'
_space_group_IT_number 44
loop_
_space_group_symop_operation_xyz
'x,y,z'
'-x,-y,z'
'-x,y,z'
'x,-y,z'
'x+1/2,y+1/2,z+1/2'
'-x+1/2,-y+1/2,z+1/2'
'-x+1/2,y+1/2,z+1/2'
'x+1/2,-y+1/2,z+1/2'
loop_
_atom_site_label
_atom_site_type_symbol
_atom_site_fract_x
_atom_site_fract_y
_atom_site_fract_z
Ca1 Ca 0.0000 0.0000 0.0000
Y1 Y 0.0000 0.0000 0.5335
Y2 Y 0.0000 0.5000 0.7692
Zr1 Zr 0.0000 0.5000 0.2566

***

# CaY2Zr (PBE, optimized geometry)
# ΔE to the lowest computed polymorph	0.101	eV per atom
# formation enthalpy at 0 K	204	meV per atom
# total DFT energy (no corrections)	-45.33	eV for the cell shown
data_CaY2Zr
_cell_length_a 11.5684
_cell_length_b 3.4607
_cell_length_c 6.2214
_cell_angle_alpha 90.00
_cell_angle_beta 99.44
_cell_angle_gamma 90.00
_space_group_name_H-M_alt 'C 1 m 1'
_space_group_IT_number 8
loop_
_space_group_symop_operation_xyz
'x,y,z'
'x,-y,z'
'x+1/2,y+1/2,z'
'x+1/2,-y+1/2,z'
loop_
_atom_site_label
_atom_site_type_symbol
_atom_site_fract_x
_atom_site_fract_y
_atom_site_fract_z
Ca1 Ca 0.0000 0.0000 0.0000
Y1 Y 0.0123 0.5000 0.5265
Y2 Y 0.2577 0.5000 0.2658
Zr1 Zr 0.2518 0.0000 0.7234

***

# CaY2Zr (PBE, optimized geometry)
# ΔE to the lowest computed polymorph	0.026	eV per atom
# formation enthalpy at 0 K	129	meV per atom
# total DFT energy (no corrections)	-68.88	eV for the cell shown
data_CaY2Zr
_cell_length_a 3.5082
_cell_length_b 3.5082
_cell_length_c 35.2424
_cell_angle_alpha 90.00
_cell_angle_beta 90.00
_cell_angle_gamma 120.00
_space_group_name_H-M_alt 'R -3 m'
_space_group_IT_number 166
_space_group_name_Hall '-R 3 2"'
loop_
_atom_site_label
_atom_site_type_symbol
_atom_site_fract_x
_atom_site_fract_y
_atom_site_fract_z
Ca1 Ca 0.0000 0.0000 0.0000
Y1 Y 0.0000 0.0000 0.2413
Zr1 Zr 0.0000 0.0000 0.5000

***

# Ca2YZr (PBE, optimized geometry)
# ΔE to the lowest computed polymorph	0.263	eV per atom
# formation enthalpy at 0 K	410	meV per atom
# total DFT energy (no corrections)	-69.50	eV for the cell shown
data_Ca2YZr
_cell_length_a 7.9934
_cell_length_b 7.9934
_cell_length_c 7.9934
_cell_angle_alpha 90.00
_cell_angle_beta 90.00
_cell_angle_gamma 90.00
_space_group_name_H-M_alt 'F m -3 m'
_space_group_IT_number 225
_space_group_name_Hall '-F 4 2 3'
loop_
_atom_site_label
_atom_site_type_symbol
_atom_site_fract_x
_atom_site_fract_y
_atom_site_fract_z
Ca1 Ca 0.2500 0.2500 0.2500
Y1 Y 0.0000 0.0000 0.0000
Zr1 Zr 0.0000 0.0000 0.5000

***

# CaY2Zr (PBE, optimized geometry)
# ΔE to the lowest computed polymorph	0.151	eV per atom
# formation enthalpy at 0 K	254	meV per atom
# total DFT energy (no corrections)	-22.46	eV for the cell shown
data_CaY2Zr
_cell_length_a 5.0220
_cell_length_b 5.0220
_cell_length_c 4.8059
_cell_angle_alpha 90.00
_cell_angle_beta 90.00
_cell_angle_gamma 90.00
_space_group_name_H-M_alt 'P 4/m m m'
_space_group_IT_number 123
_space_group_name_Hall '-P 4 2'
loop_
_atom_site_label
_atom_site_type_symbol
_atom_site_fract_x
_atom_site_fract_y
_atom_site_fract_z
Ca1 Ca 0.0000 0.0000 0.0000
Y1 Y 0.0000 0.5000 0.5000
Zr1 Zr 0.5000 0.5000 0.0000

***

# Ca2YZr (PBE, optimized geometry)
# ΔE to the lowest computed polymorph	0.184	eV per atom
# formation enthalpy at 0 K	332	meV per atom
# total DFT energy (no corrections)	-17.69	eV for the cell shown
data_Ca2YZr
_cell_length_a 3.6943
_cell_length_b 5.7259
_cell_length_c 6.0639
_cell_angle_alpha 90.00
_cell_angle_beta 90.00
_cell_angle_gamma 90.00
_space_group_name_H-M_alt 'P m m m'
_space_group_IT_number 47
loop_
_space_group_symop_operation_xyz
'x,y,z'
'-x,-y,-z'
'-x,-y,z'
'x,y,-z'
'x,-y,-z'
'-x,y,z'
'-x,y,-z'
'x,-y,z'
loop_
_atom_site_label
_atom_site_type_symbol
_atom_site_fract_x
_atom_site_fract_y
_atom_site_fract_z
Ca1 Ca 0.0000 0.0000 0.0000
Ca2 Ca 0.5000 0.5000 0.0000
Y1 Y 0.0000 0.5000 0.5000
Zr1 Zr 0.5000 0.0000 0.5000

***

# Ca2YZr (PBE, optimized geometry)
# ΔE to the lowest computed polymorph	0.269	eV per atom
# formation enthalpy at 0 K	416	meV per atom
# total DFT energy (no corrections)	-17.35	eV for the cell shown
data_Ca2YZr
_cell_length_a 5.6464
_cell_length_b 5.6464
_cell_length_c 4.0001
_cell_angle_alpha 90.00
_cell_angle_beta 90.00
_cell_angle_gamma 90.00
_space_group_name_H-M_alt 'P 4/m m m'
_space_group_IT_number 123
_space_group_name_Hall '-P 4 2'
loop_
_atom_site_label
_atom_site_type_symbol
_atom_site_fract_x
_atom_site_fract_y
_atom_site_fract_z
Ca1 Ca 0.0000 0.5000 0.0000
Y1 Y 0.0000 0.0000 0.5000
Zr1 Zr 0.5000 0.5000 0.5000

***

# CaY3Zr (PBE, optimized geometry)
# ΔE to the lowest computed polymorph	0.000	eV per atom
# formation enthalpy at 0 K	462	meV per atom
# total DFT energy (no corrections)	-27.63	eV for the cell shown
data_CaY3Zr
_cell_length_a 5.6600
_cell_length_b 5.6600
_cell_length_c 5.6600
_cell_angle_alpha 90.00
_cell_angle_beta 90.00
_cell_angle_gamma 90.00
_space_group_name_H-M_alt 'P m -3 m'
_space_group_IT_number 221
_space_group_name_Hall '-P 4 2 3'
loop_
_atom_site_label
_atom_site_type_symbol
_atom_site_fract_x
_atom_site_fract_y
_atom_site_fract_z
Ca1 Ca 0.0000 0.0000 0.0000
Y1 Y 0.0000 0.5000 0.5000
Zr1 Zr 0.5000 0.5000 0.5000

***

# CaY2Zr (PBE, optimized geometry)
# ΔE to the lowest computed polymorph	0.144	eV per atom
# formation enthalpy at 0 K	247	meV per atom
# total DFT energy (no corrections)	-44.98	eV for the cell shown
data_CaY2Zr
_cell_length_a 4.9256
_cell_length_b 4.9256
_cell_length_c 10.0024
_cell_angle_alpha 90.00
_cell_angle_beta 90.00
_cell_angle_gamma 90.00
_space_group_name_H-M_alt 'I -4 m 2'
_space_group_IT_number 119
_space_group_name_Hall 'I -4 -2'
loop_
_atom_site_label
_atom_site_type_symbol
_atom_site_fract_x
_atom_site_fract_y
_atom_site_fract_z
Ca1 Ca 0.0000 0.0000 0.0000
Y1 Y 0.0000 0.0000 0.5000
Y2 Y 0.0000 0.5000 0.7500
Zr1 Zr 0.0000 0.5000 0.2500

***

# Ca4YZr (PBE, optimized geometry)
# formation enthalpy at 0 K	526	meV per atom
# total DFT energy (no corrections)	-79.45	eV for the cell shown
data_Ca4YZr
_cell_length_a 9.5190
_cell_length_b 9.5190
_cell_length_c 9.5190
_cell_angle_alpha 90.00
_cell_angle_beta 90.00
_cell_angle_gamma 90.00
_space_group_name_H-M_alt 'F -4 3 m'
_space_group_IT_number 216
_space_group_name_Hall 'F -4 2 3'
loop_
_atom_site_label
_atom_site_type_symbol
_atom_site_fract_x
_atom_site_fract_y
_atom_site_fract_z
Ca1 Ca 0.1242 0.1242 0.3758
Y1 Y 0.0000 0.0000 0.0000
Zr1 Zr 0.2500 0.2500 0.7500

***

# Ca2YZr (PBE, optimized geometry)
# ΔE to the lowest computed polymorph	0.177	eV per atom
# formation enthalpy at 0 K	324	meV per atom
# total DFT energy (no corrections)	-35.44	eV for the cell shown
data_Ca2YZr
_cell_length_a 6.8271
_cell_length_b 11.9891
_cell_length_c 3.4089
_cell_angle_alpha 90.00
_cell_angle_beta 113.11
_cell_angle_gamma 90.00
_space_group_name_H-M_alt 'C 1 2/m 1'
_space_group_IT_number 12
loop_
_space_group_symop_operation_xyz
'x,y,z'
'-x,-y,-z'
'-x,y,-z'
'x,-y,z'
'x+1/2,y+1/2,z'
'-x+1/2,-y+1/2,-z'
'-x+1/2,y+1/2,-z'
'x+1/2,-y+1/2,z'
loop_
_atom_site_label
_atom_site_type_symbol
_atom_site_fract_x
_atom_site_fract_y
_atom_site_fract_z
Ca1 Ca 0.2500 0.2500 0.0000
Y1 Y 0.0000 0.0000 0.5000
Zr1 Zr 0.0000 0.5000 0.5000

***

Question: Among the records above, which one has the lowest formation enthalpy at 0 K?
Answer: number 4